No. 1
A relaxed Tl2AgOsCl crystal. Source: Alexandria via LeMat-Bulk, functional PBE-GGA. Values from VASP.

Results
raw total energy: -0.230 Ry per atom
N(E_F): 2.94 states/eV/f.u.
crystal system: tetragonal
SG: P4/mmm (123)
E_form (uncorrected): 1006 meV/atom

Structure (Quantum ESPRESSO input):
```
&SYSTEM
  ibrav = 0, nat = 5, ntyp = 4
/
ATOMIC_SPECIES
Tl 204.38 Tl.upf
Ag 107.87 Ag.upf
Os 190.23 Os.upf
Cl 35.45 Cl.upf
CELL_PARAMETERS angstrom
5.9310 0.0000 0.0000
0.0000 5.9310 0.0000
0.0000 0.0000 4.2775
ATOMIC_POSITIONS angstrom
Tl 0.0000 2.9655 0.0000
Tl 2.9655 0.0000 0.0000
Ag 0.0000 0.0000 2.1388
Os 2.9655 2.9655 2.1388
Cl 2.9655 2.9655 0.0000
```



No. 2
A relaxed Tl2AgOsCl6 crystal. Source: Alexandria via LeMat-Bulk, functional PBE-GGA. Values from VASP.

Results
raw total energy: -0.261 Ry per atom
N(E_F): 8.39 states/eV/f.u.
crystal system: orthorhombic
SG: Pmmn (59)
E_form (uncorrected): -568 meV/atom

Structure (Quantum ESPRESSO input):
```
&SYSTEM
  ibrav = 0, nat = 20, ntyp = 4
/
ATOMIC_SPECIES
Tl 204.38 Tl.upf
Ag 107.87 Ag.upf
Os 190.23 Os.upf
Cl 35.45 Cl.upf
CELL_PARAMETERS angstrom
7.1612 0.0000 0.0000
0.0000 10.1388 0.0000
0.0000 0.0000 7.2078
ATOMIC_POSITIONS angstrom
Tl 1.7903 0.0322 1.7516
Tl 1.7903 5.0372 1.7516
Tl 5.3709 5.1016 5.4562
Tl 5.3709 10.1066 5.4562
Ag 1.7903 2.5347 5.3387
Ag 5.3709 7.6041 1.8690
Os 1.7903 7.6041 5.4477
Os 5.3709 2.5347 1.7601
Cl 0.1076 7.6041 3.7677
Cl 0.1048 7.6041 7.1269
Cl 1.7903 5.2257 5.4768
Cl 1.7903 9.9825 5.4768
Cl 3.4730 7.6041 3.7677
Cl 3.4758 7.6041 7.1269
Cl 3.6854 2.5347 0.0809
Cl 3.6882 2.5347 3.4401
Cl 5.3709 0.1563 1.7310
Cl 5.3709 4.9131 1.7310
Cl 7.0564 2.5347 0.0809
Cl 7.0536 2.5347 3.4401
```



No. 3
A relaxed ZnAg2OsCl crystal. Source: Alexandria via LeMat-Bulk, functional PBE-GGA. Values from VASP.

Results
raw total energy: -0.227 Ry per atom
N(E_F): 3.25 states/eV/f.u.
crystal system: tetragonal
SG: P4/mmm (123)
E_form (uncorrected): 924 meV/atom

Structure (Quantum ESPRESSO input):
```
&SYSTEM
  ibrav = 0, nat = 5, ntyp = 4
/
ATOMIC_SPECIES
Zn 65.41 Zn.upf
Ag 107.87 Ag.upf
Os 190.23 Os.upf
Cl 35.45 Cl.upf
CELL_PARAMETERS angstrom
5.3087 0.0000 0.0000
0.0000 5.3087 0.0000
0.0000 0.0000 4.3205
ATOMIC_POSITIONS angstrom
Zn 0.0000 0.0000 0.0000
Ag 0.0000 2.6544 2.1603
Ag 2.6544 0.0000 2.1603
Os 2.6544 2.6544 2.1603
Cl 2.6544 2.6544 0.0000
```



No. 4
A relaxed AgP2Cl8 crystal. Source: Alexandria via LeMat-Bulk, functional PBE-GGA. Values from VASP.

Results
raw total energy: -0.227 Ry per atom
N(E_F): 4.55 states/eV/f.u.
crystal system: monoclinic
SG: C2/m (12)
E_form (uncorrected): -503 meV/atom

Structure (Quantum ESPRESSO input):
```
&SYSTEM
  ibrav = 0, nat = 11, ntyp = 3
/
ATOMIC_SPECIES
Ag 107.87 Ag.upf
P 30.97 P.upf
Cl 35.45 Cl.upf
CELL_PARAMETERS angstrom
7.3278 -4.3926 0.0000
7.3278 4.3926 0.0000
-4.2588 0.0000 7.1035
ATOMIC_POSITIONS angstrom
Ag 0.0000 0.0000 0.0000
P -0.1030 0.0000 4.5526
P 10.4998 0.0000 2.5509
Cl 4.2167 2.7926 1.7782
Cl 1.3307 0.0000 1.8917
Cl 6.1801 2.7926 5.3252
Cl 1.5920 0.0000 5.7104
Cl 8.8048 0.0000 1.3931
Cl 4.2167 -2.7926 1.7782
Cl 9.0661 0.0000 5.2118
Cl 6.1801 -2.7926 5.3252
```



No. 5
A relaxed AgPCl2 crystal. Source: Alexandria via LeMat-Bulk, functional PBE-GGA. Values from VASP.

Results
raw total energy: -0.222 Ry per atom
crystal system: trigonal
SG: R3m (160)
E_form (uncorrected): -26 meV/atom
ΔE to the lowest computed polymorph: 203 meV per atom

Structure (Quantum ESPRESSO input):
```
&SYSTEM
  ibrav = 0, nat = 4, ntyp = 3
/
ATOMIC_SPECIES
Ag 107.87 Ag.upf
P 30.97 P.upf
Cl 35.45 Cl.upf
CELL_PARAMETERS angstrom
1.8097 1.0448 8.1616
-1.8097 1.0448 8.1616
0.0000 -2.0897 8.1616
ATOMIC_POSITIONS angstrom
Ag 0.0000 0.0000 0.0000
P 0.0000 0.0000 17.8372
Cl 0.0000 0.0000 6.6067
Cl 0.0000 0.0000 11.2469
```



No. 6
A relaxed Ag2PCl4 crystal. Source: Alexandria via LeMat-Bulk, functional PBE-GGA. Values from VASP.

Results
raw total energy: -0.213 Ry per atom
crystal system: orthorhombic
SG: Cmce (64)
E_form (uncorrected): -254 meV/atom

Structure (Quantum ESPRESSO input):
```
&SYSTEM
  ibrav = 0, nat = 14, ntyp = 3
/
ATOMIC_SPECIES
Ag 107.87 Ag.upf
P 30.97 P.upf
Cl 35.45 Cl.upf
CELL_PARAMETERS angstrom
5.0318 -4.1937 0.0000
5.0318 4.1937 0.0000
0.0000 0.0000 8.3230
ATOMIC_POSITIONS angstrom
Ag 2.5159 1.8054 2.0807
Ag 2.5159 -1.8054 6.2422
Ag 7.5477 1.8054 2.0807
Ag 7.5477 -1.8054 6.2422
P 0.0000 0.0000 0.0000
P 5.0318 0.0000 4.1615
Cl 5.0318 2.5196 1.7515
Cl 2.4169 0.0000 0.0000
Cl 2.6149 0.0000 4.1615
Cl 5.0318 1.6741 5.9130
Cl 5.0318 -1.6741 2.4100
Cl 7.4487 0.0000 4.1615
Cl 7.6468 0.0000 0.0000
Cl 5.0318 -2.5196 6.5715
```



No. 7
A relaxed AgPCl2 crystal. Source: Alexandria via LeMat-Bulk, functional PBE-GGA. Values from VASP.

Results
raw total energy: -0.226 Ry per atom
N(E_F): 0.84 states/eV/f.u.
crystal system: monoclinic
SG: C2/m (12)
E_form (uncorrected): -90 meV/atom
ΔE to the lowest computed polymorph: 140 meV per atom

Structure (Quantum ESPRESSO input):
```
&SYSTEM
  ibrav = 0, nat = 4, ntyp = 3
/
ATOMIC_SPECIES
Ag 107.87 Ag.upf
P 30.97 P.upf
Cl 35.45 Cl.upf
CELL_PARAMETERS angstrom
7.7249 -1.6898 0.0000
7.7249 1.6898 0.0000
-0.8854 0.0000 3.7485
ATOMIC_POSITIONS angstrom
Ag 0.0000 0.0000 0.0000
P 7.2822 0.0000 1.8742
Cl 5.1163 0.0000 1.3568
Cl 9.4481 0.0000 2.3917
```



No. 8
A relaxed AgPCl2 crystal. Source: Alexandria via LeMat-Bulk, functional PBE-GGA. Values from VASP.

Results
raw total energy: -0.211 Ry per atom
crystal system: tetragonal
SG: P4/nmm (129)
E_form (uncorrected): 117 meV/atom
ΔE to the lowest computed polymorph: 346 meV per atom

Structure (Quantum ESPRESSO input):
```
&SYSTEM
  ibrav = 0, nat = 8, ntyp = 3
/
ATOMIC_SPECIES
Ag 107.87 Ag.upf
P 30.97 P.upf
Cl 35.45 Cl.upf
CELL_PARAMETERS angstrom
5.2412 0.0000 0.0000
0.0000 5.2412 0.0000
0.0000 0.0000 9.9677
ATOMIC_POSITIONS angstrom
Ag 1.3103 1.3103 0.7031
Ag 3.9309 3.9309 9.2646
P 1.3103 1.3103 3.2181
P 3.9309 3.9309 6.7495
Cl 1.3103 1.3103 5.2495
Cl 1.3103 3.9309 0.0000
Cl 3.9309 1.3103 0.0000
Cl 3.9309 3.9309 4.7182
```



No. 9
A relaxed AgPCl2 crystal. Source: Alexandria via LeMat-Bulk, functional PBE-GGA. Values from VASP.

Results
raw total energy: -0.237 Ry per atom
crystal system: monoclinic
SG: Cm (8)
E_form (uncorrected): -229 meV/atom
ΔE to the lowest computed polymorph: 0 meV per atom

Structure (Quantum ESPRESSO input):
```
&SYSTEM
  ibrav = 0, nat = 4, ntyp = 3
/
ATOMIC_SPECIES
Ag 107.87 Ag.upf
P 30.97 P.upf
Cl 35.45 Cl.upf
CELL_PARAMETERS angstrom
4.0461 -1.7423 0.0000
4.0461 1.7423 0.0000
-0.5357 0.0000 7.7137
ATOMIC_POSITIONS angstrom
Ag 0.0000 0.0000 0.0000
P 2.2754 0.0000 6.4944
Cl 3.0724 0.0000 4.6212
Cl 5.0612 0.0000 1.4798
```



No. 10
A relaxed AgPCl2 crystal. Source: Alexandria via LeMat-Bulk, functional PBE-GGA. Values from VASP.

Results
raw total energy: -0.209 Ry per atom
N(E_F): 1.38 states/eV/f.u.
crystal system: orthorhombic
SG: Imm2 (44)
E_form (uncorrected): 142 meV/atom
ΔE to the lowest computed polymorph: 371 meV per atom

Structure (Quantum ESPRESSO input):
```
&SYSTEM
  ibrav = 0, nat = 4, ntyp = 3
/
ATOMIC_SPECIES
Ag 107.87 Ag.upf
P 30.97 P.upf
Cl 35.45 Cl.upf
CELL_PARAMETERS angstrom
-1.6181 1.9631 7.2614
1.6181 -1.9631 7.2614
1.6181 1.9631 -7.2614
ATOMIC_POSITIONS angstrom
Ag 0.0000 0.0000 0.0000
P 0.0000 1.9631 5.2866
Cl 1.6181 0.0000 4.5701
Cl 0.0000 0.0000 8.4437
```



No. 11
A relaxed AgPCl6 crystal. Source: Alexandria via LeMat-Bulk, functional PBE-GGA. Values from VASP.

Results
raw total energy: -0.209 Ry per atom
crystal system: trigonal
SG: R-3 (148)
E_form (uncorrected): -429 meV/atom

Structure (Quantum ESPRESSO input):
```
&SYSTEM
  ibrav = 0, nat = 8, ntyp = 3
/
ATOMIC_SPECIES
Ag 107.87 Ag.upf
P 30.97 P.upf
Cl 35.45 Cl.upf
CELL_PARAMETERS angstrom
3.1519 1.8198 5.6099
-3.1519 1.8198 5.6099
0.0000 -3.6396 5.6099
ATOMIC_POSITIONS angstrom
Ag 0.0000 0.0000 0.0000
P 0.0000 0.0000 8.4149
Cl -0.9271 -1.5282 7.1612
Cl -1.7870 0.0388 9.6686
Cl -0.8599 1.5670 7.1612
Cl 0.8599 -1.5670 9.6686
Cl 1.7870 -0.0388 7.1612
Cl 0.9271 1.5282 9.6686
```



No. 12
A relaxed AgPCl2 crystal. Source: Alexandria via LeMat-Bulk, functional PBE-GGA. Values from VASP.

Results
raw total energy: -0.200 Ry per atom
N(E_F): 1.26 states/eV/f.u.
crystal system: orthorhombic
SG: Cmmm (65)
E_form (uncorrected): 262 meV/atom
ΔE to the lowest computed polymorph: 492 meV per atom

Structure (Quantum ESPRESSO input):
```
&SYSTEM
  ibrav = 0, nat = 4, ntyp = 3
/
ATOMIC_SPECIES
Ag 107.87 Ag.upf
P 30.97 P.upf
Cl 35.45 Cl.upf
CELL_PARAMETERS angstrom
1.6077 -2.9368 0.0000
1.6077 2.9368 0.0000
0.0000 0.0000 9.3883
ATOMIC_POSITIONS angstrom
Ag 0.0000 0.0000 0.0000
P 0.0000 0.0000 4.6942
Cl 1.6077 0.0000 2.8835
Cl 1.6077 0.0000 6.5048
```



No. 13
A relaxed AgPCl2 crystal. Source: Alexandria via LeMat-Bulk, functional PBE-GGA. Values from VASP.

Results
raw total energy: -0.181 Ry per atom
N(E_F): 3.59 states/eV/f.u.
crystal system: cubic
SG: Fm-3m (225)
E_form (uncorrected): 520 meV/atom
ΔE to the lowest computed polymorph: 750 meV per atom

Structure (Quantum ESPRESSO input):
```
&SYSTEM
  ibrav = 0, nat = 4, ntyp = 3
/
ATOMIC_SPECIES
Ag 107.87 Ag.upf
P 30.97 P.upf
Cl 35.45 Cl.upf
CELL_PARAMETERS angstrom
0.0000 3.3953 3.3953
3.3953 0.0000 3.3953
3.3953 3.3953 0.0000
ATOMIC_POSITIONS angstrom
Ag 0.0000 0.0000 0.0000
P 3.3953 3.3953 3.3953
Cl 1.6976 1.6976 1.6976
Cl 5.0929 5.0929 5.0929
```



No. 14
A relaxed AgPCl2 crystal. Source: Alexandria via LeMat-Bulk, functional PBE-GGA. Values from VASP.

Results
raw total energy: -0.201 Ry per atom
N(E_F): 1.78 states/eV/f.u.
crystal system: tetragonal
SG: P4mm (99)
E_form (uncorrected): 254 meV/atom
ΔE to the lowest computed polymorph: 484 meV per atom

Structure (Quantum ESPRESSO input):
```
&SYSTEM
  ibrav = 0, nat = 4, ntyp = 3
/
ATOMIC_SPECIES
Ag 107.87 Ag.upf
P 30.97 P.upf
Cl 35.45 Cl.upf
CELL_PARAMETERS angstrom
3.2589 0.0000 0.0000
0.0000 3.2589 0.0000
0.0000 0.0000 8.1742
ATOMIC_POSITIONS angstrom
Ag 0.0000 0.0000 0.0000
P 1.6294 1.6294 6.7065
Cl 0.0000 0.0000 4.9595
Cl 1.6294 1.6294 1.5437
```



No. 15
A relaxed Ag2PCl6 crystal. Source: Alexandria via LeMat-Bulk, functional PBE-GGA. Values from VASP.

Results
raw total energy: -0.212 Ry per atom
N(E_F): 5.15 states/eV/f.u.
crystal system: monoclinic
SG: P2_1/c (14)
E_form (uncorrected): -413 meV/atom

Structure (Quantum ESPRESSO input):
```
&SYSTEM
  ibrav = 0, nat = 18, ntyp = 3
/
ATOMIC_SPECIES
Ag 107.87 Ag.upf
P 30.97 P.upf
Cl 35.45 Cl.upf
CELL_PARAMETERS angstrom
6.6154 0.0000 0.0000
0.0000 6.2454 0.0000
-6.6075 0.0000 10.9764
ATOMIC_POSITIONS angstrom
Ag 0.0021 0.0021 2.0195
Ag -3.3017 3.1206 7.5077
Ag 0.0058 6.2433 8.9569
Ag 3.3096 3.1248 3.4687
P 3.3077 0.0000 0.0000
P 0.0040 3.1227 5.4882
Cl 1.3701 1.3044 0.0046
Cl -1.9337 1.8182 5.4928
Cl -0.8956 4.4972 3.8338
Cl -4.1994 4.8709 9.3220
Cl -2.3963 1.3935 9.3411
Cl 0.9075 1.7292 3.8529
Cl -0.8996 4.5162 7.1235
Cl 2.4042 4.8519 1.6353
Cl 4.2073 1.3745 1.6545
Cl 0.9035 1.7482 7.1427
Cl 1.9416 4.4271 5.4836
Cl -1.3621 4.9409 10.9718
```



No. 16
A relaxed AgPCl2 crystal. Source: Alexandria via LeMat-Bulk, functional PBE-GGA. Values from VASP.

Results
raw total energy: -0.208 Ry per atom
N(E_F): 1.34 states/eV/f.u.
crystal system: orthorhombic
SG: Cmm2 (35)
E_form (uncorrected): 162 meV/atom
ΔE to the lowest computed polymorph: 391 meV per atom

Structure (Quantum ESPRESSO input):
```
&SYSTEM
  ibrav = 0, nat = 4, ntyp = 3
/
ATOMIC_SPECIES
Ag 107.87 Ag.upf
P 30.97 P.upf
Cl 35.45 Cl.upf
CELL_PARAMETERS angstrom
1.7333 -3.1013 0.0000
1.7333 3.1013 0.0000
0.0000 0.0000 8.7436
ATOMIC_POSITIONS angstrom
Ag 0.0000 0.0000 0.0000
P 1.7333 0.0000 1.7343
Cl 0.0000 0.0000 3.5875
Cl 1.7333 0.0000 6.9978
```



No. 17
A relaxed AgPCl2 crystal. Source: Alexandria via LeMat-Bulk, functional PBE-GGA. Values from VASP.

Results
raw total energy: -0.226 Ry per atom
N(E_F): 0.98 states/eV/f.u.
crystal system: orthorhombic
SG: Pmm2 (25)
E_form (uncorrected): -89 meV/atom
ΔE to the lowest computed polymorph: 141 meV per atom

Structure (Quantum ESPRESSO input):
```
&SYSTEM
  ibrav = 0, nat = 4, ntyp = 3
/
ATOMIC_SPECIES
Ag 107.87 Ag.upf
P 30.97 P.upf
Cl 35.45 Cl.upf
CELL_PARAMETERS angstrom
3.0201 0.0000 0.0000
0.0000 4.0371 0.0000
0.0000 0.0000 8.1714
ATOMIC_POSITIONS angstrom
Ag 0.0000 0.0000 0.0000
P 1.5100 2.0185 0.8016
Cl 0.0000 0.0000 5.6592
Cl 1.5100 2.0185 2.8162
```



No. 18
A relaxed AgPCl2 crystal. Source: Alexandria via LeMat-Bulk, functional PBE-GGA. Values from VASP.

Results
raw total energy: -0.193 Ry per atom
N(E_F): 1.20 states/eV/f.u.
crystal system: trigonal
SG: R-3m (166)
E_form (uncorrected): 359 meV/atom
ΔE to the lowest computed polymorph: 588 meV per atom

Structure (Quantum ESPRESSO input):
```
&SYSTEM
  ibrav = 0, nat = 4, ntyp = 3
/
ATOMIC_SPECIES
Ag 107.87 Ag.upf
P 30.97 P.upf
Cl 35.45 Cl.upf
CELL_PARAMETERS angstrom
1.6241 0.9377 9.0252
-1.6241 0.9377 9.0252
0.0000 -1.8754 9.0252
ATOMIC_POSITIONS angstrom
Ag 0.0000 0.0000 0.0000
P 0.0000 0.0000 13.5379
Cl 0.0000 0.0000 2.4238
Cl 0.0000 0.0000 24.6520
```



No. 19
A relaxed AgPCl2 crystal. Source: Alexandria via LeMat-Bulk, functional PBE-GGA. Values from VASP.

Results
raw total energy: -0.174 Ry per atom
N(E_F): 2.31 states/eV/f.u.
crystal system: cubic
SG: F-43m (216)
E_form (uncorrected): 617 meV/atom
ΔE to the lowest computed polymorph: 846 meV per atom

Structure (Quantum ESPRESSO input):
```
&SYSTEM
  ibrav = 0, nat = 4, ntyp = 3
/
ATOMIC_SPECIES
Ag 107.87 Ag.upf
P 30.97 P.upf
Cl 35.45 Cl.upf
CELL_PARAMETERS angstrom
0.0000 3.3717 3.3717
3.3717 0.0000 3.3717
3.3717 3.3717 0.0000
ATOMIC_POSITIONS angstrom
Ag 0.0000 0.0000 0.0000
P 1.6859 1.6859 1.6859
Cl 3.3717 3.3717 3.3717
Cl 5.0576 5.0576 5.0576
```



No. 20
A relaxed AgPCl2 crystal. Source: Alexandria via LeMat-Bulk, functional PBE-GGA. Values from VASP.

Results
raw total energy: -0.199 Ry per atom
N(E_F): 0.20 states/eV/f.u.
crystal system: tetragonal
SG: I-42d (122)
E_form (uncorrected): 283 meV/atom
ΔE to the lowest computed polymorph: 513 meV per atom

Structure (Quantum ESPRESSO input):
```
&SYSTEM
  ibrav = 0, nat = 8, ntyp = 3
/
ATOMIC_SPECIES
Ag 107.87 Ag.upf
P 30.97 P.upf
Cl 35.45 Cl.upf
CELL_PARAMETERS angstrom
-2.4194 2.4194 7.9644
2.4194 -2.4194 7.9644
2.4194 2.4194 -7.9644
ATOMIC_POSITIONS angstrom
Ag 0.0000 0.0000 0.0000
Ag 0.0000 2.4194 3.9822
P 2.4194 0.0000 3.9822
P 0.0000 0.0000 7.9644
Cl 1.2097 -1.0641 5.9733
Cl 1.3554 1.2097 1.9911
Cl 1.2097 3.4835 -1.9911
Cl 1.0641 1.2097 9.9555
```